Record 1
# Tc4SbBr (PBE, optimized geometry)
# volume = 17.6 A^3/atom
# D(E_F) = 6.36 states/eV/f.u.
# energy relative to the elements, uncorrected = 0.922 eV/atom
# size of the total moment = 0.00 μB/cell
data_Tc4SbBr
_chemical_formula_sum 'Tc16 Sb4 Br4'
_symmetry_space_group_name_H-M 'F -4 3 m'
_symmetry_Int_Tables_number 216
_symmetry_space_group_name_Hall 'F -4 2 3'
_cell_length_a 7.5030
_cell_length_b 7.5030
_cell_length_c 7.5030
_cell_angle_alpha 90.00
_cell_angle_beta 90.00
_cell_angle_gamma 90.00
loop_
_atom_site_label
_atom_site_type_symbol
_atom_site_fract_x
_atom_site_fract_y
_atom_site_fract_z
Tc1 Tc 0.1252 0.1252 0.1252
Sb1 Sb 0.0000 0.0000 0.5000
Br1 Br 0.2500 0.2500 0.7500

=====

Record 2
# CoSbN2 (PBE, optimized geometry)
# volume = 13.4 A^3/atom
# D(E_F) = 3.73 states/eV/f.u.
# energy relative to the elements, uncorrected = 0.607 eV/atom
# size of the total moment = 6.01 μB/cell
data_CoSbN2
_chemical_formula_sum 'Co3 Sb3 N6'
_symmetry_space_group_name_H-M 'R -3 m'
_symmetry_Int_Tables_number 166
_symmetry_space_group_name_Hall '-R 3 2"'
_cell_length_a 3.2175
_cell_length_b 3.2175
_cell_length_c 17.8927
_cell_angle_alpha 90.00
_cell_angle_beta 90.00
_cell_angle_gamma 120.00
loop_
_atom_site_label
_atom_site_type_symbol
_atom_site_fract_x
_atom_site_fract_y
_atom_site_fract_z
Co1 Co 0.0000 0.0000 0.0000
Sb1 Sb 0.0000 0.0000 0.5000
N1 N 0.0000 0.0000 0.1038

=====

Record 3
# Nb2TcWN (PBE, optimized geometry)
# volume = 14.9 A^3/atom
# D(E_F) = 4.78 states/eV/f.u.
# energy relative to the elements, uncorrected = -0.233 eV/atom
# size of the total moment = 0.00 μB/cell
# distance to the lowest polymorph of the same formula = 0 meV/atom
data_Nb2TcWN
_chemical_formula_sum 'Nb2 Tc1 W1 N1'
_symmetry_space_group_name_H-M 'P 4/m m m'
_symmetry_Int_Tables_number 123
_symmetry_space_group_name_Hall '-P 4 2'
_cell_length_a 4.2732
_cell_length_b 4.2732
_cell_length_c 4.0686
_cell_angle_alpha 90.00
_cell_angle_beta 90.00
_cell_angle_gamma 90.00
loop_
_atom_site_label
_atom_site_type_symbol
_atom_site_fract_x
_atom_site_fract_y
_atom_site_fract_z
Nb1 Nb 0.0000 0.5000 0.0000
Tc1 Tc 0.0000 0.0000 0.5000
W1 W 0.5000 0.5000 0.5000
N1 N 0.5000 0.5000 0.0000

=====

Record 4
# LiTaMoC2 (PBE, optimized geometry)
# volume = 18.0 A^3/atom
# energy relative to the elements = 1.9055 eV per atom
# D(E_F) = 3.84 states/eV/f.u.
# size of the total moment = 2.68 μB/cell
data_LiTaMoC2
_chemical_formula_sum 'Li1 Ta1 Mo1 C2'
_symmetry_space_group_name_H-M 'P 4/m m m'
_symmetry_Int_Tables_number 123
_symmetry_space_group_name_Hall '-P 4 2'
_cell_length_a 4.2355
_cell_length_b 4.2355
_cell_length_c 5.0133
_cell_angle_alpha 90.00
_cell_angle_beta 90.00
_cell_angle_gamma 90.00
loop_
_atom_site_label
_atom_site_type_symbol
_atom_site_fract_x
_atom_site_fract_y
_atom_site_fract_z
Li1 Li 0.0000 0.0000 0.0000
Ta1 Ta 0.5000 0.5000 0.5000
Mo1 Mo 0.5000 0.5000 0.0000
C1 C 0.0000 0.5000 0.5000

=====

Record 5
# Ac2AgSnSe5 (PBE, optimized geometry)
# volume = 28.3 A^3/atom
# D(E_F) = 1.93 states/eV/f.u.
# energy relative to the elements, uncorrected = -1.218 eV/atom
# size of the total moment = 0.00 μB/cell
data_Ac2AgSnSe5
_chemical_formula_sum 'Ac8 Ag4 Sn4 Se20'
_symmetry_space_group_name_H-M 'C m c 21'
_symmetry_Int_Tables_number 36
_cell_length_a 4.4955
_cell_length_b 18.5029
_cell_length_c 12.2368
_cell_angle_alpha 90.00
_cell_angle_beta 90.00
_cell_angle_gamma 90.00
loop_
_symmetry_equiv_pos_as_xyz
'x,y,z'
'-x,-y,z+1/2'
'-x,y,z'
'x,-y,z+1/2'
'x+1/2,y+1/2,z'
'-x+1/2,-y+1/2,z+1/2'
'-x+1/2,y+1/2,z'
'x+1/2,-y+1/2,z+1/2'
loop_
_atom_site_label
_atom_site_type_symbol
_atom_site_fract_x
_atom_site_fract_y
_atom_site_fract_z
Ac1 Ac 0.0000 0.1175 0.0000
Ac2 Ac 0.0000 0.1254 0.3789
Ag1 Ag 0.0000 0.2368 0.7539
Sn1 Sn 0.0000 0.4119 0.1731
Se1 Se 0.0000 0.0334 0.7659
Se2 Se 0.0000 0.2988 0.0294
Se3 Se 0.0000 0.3048 0.3553
Se4 Se 0.0000 0.3696 0.6894
Se5 Se 0.0000 0.4891 0.9767

=====

Record 6
# Nb4Te3S (PBE, optimized geometry)
# volume = 23.7 A^3/atom
# D(E_F) = 2.60 states/eV/f.u.
# energy relative to the elements, uncorrected = -0.259 eV/atom
# size of the total moment = 0.00 μB/cell
data_Nb4Te3S
_chemical_formula_sum 'Nb8 Te6 S2'
_symmetry_space_group_name_H-M 'P m n 21'
_symmetry_Int_Tables_number 31
_cell_length_a 7.2644
_cell_length_b 9.6197
_cell_length_c 5.4242
_cell_angle_alpha 90.00
_cell_angle_beta 90.00
_cell_angle_gamma 90.00
loop_
_symmetry_equiv_pos_as_xyz
'x,y,z'
'-x+1/2,-y,z+1/2'
'-x,y,z'
'x+1/2,-y,z+1/2'
loop_
_atom_site_label
_atom_site_type_symbol
_atom_site_fract_x
_atom_site_fract_y
_atom_site_fract_z
Nb1 Nb 0.0000 0.1860 0.0000
Nb2 Nb 0.0000 0.8049 0.5013
Nb3 Nb 0.2398 0.7040 0.1623
Te1 Te 0.0000 0.0972 0.5162
Te2 Te 0.2456 0.3954 0.1465
S1 S 0.0000 0.8797 0.0506

=====

Record 7
# HfMnP2C (PBE, optimized geometry)
# volume = 14.9 A^3/atom
# energy relative to the elements = 0.3960 eV per atom
# D(E_F) = 2.85 states/eV/f.u.
# size of the total moment = 1.15 μB/cell
data_HfMnP2C
_chemical_formula_sum 'Hf1 Mn1 P2 C1'
_symmetry_space_group_name_H-M 'P 4/m m m'
_symmetry_Int_Tables_number 123
_symmetry_space_group_name_Hall '-P 4 2'
_cell_length_a 4.5906
_cell_length_b 4.5906
_cell_length_c 3.5372
_cell_angle_alpha 90.00
_cell_angle_beta 90.00
_cell_angle_gamma 90.00
loop_
_atom_site_label
_atom_site_type_symbol
_atom_site_fract_x
_atom_site_fract_y
_atom_site_fract_z
Hf1 Hf 0.0000 0.0000 0.0000
Mn1 Mn 0.5000 0.5000 0.5000
P1 P 0.0000 0.5000 0.5000
C1 C 0.5000 0.5000 0.0000

=====

Record 8
# ZrOsPb3 (PBE, optimized geometry)
# volume = 29.3 A^3/atom
# energy relative to the elements = 0.9830 eV per atom
# D(E_F) = 7.79 states/eV/f.u.
# size of the total moment = 1.90 μB/cell
# distance to the lowest polymorph of the same formula = 0 meV/atom
data_ZrOsPb3
_chemical_formula_sum 'Zr1 Os1 Pb3'
_symmetry_space_group_name_H-M 'P m -3 m'
_symmetry_Int_Tables_number 221
_symmetry_space_group_name_Hall '-P 4 2 3'
_cell_length_a 5.2723
_cell_length_b 5.2723
_cell_length_c 5.2723
_cell_angle_alpha 90.00
_cell_angle_beta 90.00
_cell_angle_gamma 90.00
loop_
_atom_site_label
_atom_site_type_symbol
_atom_site_fract_x
_atom_site_fract_y
_atom_site_fract_z
Zr1 Zr 0.0000 0.0000 0.0000
Os1 Os 0.5000 0.5000 0.5000
Pb1 Pb 0.0000 0.5000 0.5000

=====

Record 9
# Ca4LaTl15 (PBE, optimized geometry)
# volume = 28.9 A^3/atom
# energy relative to the elements = -0.2617 eV per atom
# D(E_F) = 11.83 states/eV/f.u.
# size of the total moment = 0.00 μB/cell
data_Ca4LaTl15
_chemical_formula_sum 'Ca4 La1 Tl15'
_symmetry_space_group_name_H-M 'P 4/m m m'
_symmetry_Int_Tables_number 123
_symmetry_space_group_name_Hall '-P 4 2'
_cell_length_a 4.8677
_cell_length_b 4.8677
_cell_length_c 24.3848
_cell_angle_alpha 90.00
_cell_angle_beta 90.00
_cell_angle_gamma 90.00
loop_
_atom_site_label
_atom_site_type_symbol
_atom_site_fract_x
_atom_site_fract_y
_atom_site_fract_z
Ca1 Ca 0.0000 0.0000 0.1005
Ca2 Ca 0.0000 0.0000 0.3005
La1 La 0.0000 0.0000 0.5000
Tl1 Tl 0.0000 0.5000 0.0000
Tl2 Tl 0.0000 0.5000 0.2000
Tl3 Tl 0.0000 0.5000 0.3989
Tl4 Tl 0.5000 0.5000 0.1001
Tl5 Tl 0.5000 0.5000 0.2992
Tl6 Tl 0.5000 0.5000 0.5000

=====

Record 10
# Ho2FeSi3Ni12 (PBE, optimized geometry)
# volume = 14.3 A^3/atom
# D(E_F) = 14.54 states/eV/f.u.
# energy relative to the elements, uncorrected = -0.073 eV/atom
# size of the total moment = 12.21 μB/cell
data_Ho2FeSi3Ni12
_chemical_formula_sum 'Ho6 Fe3 Si9 Ni36'
_symmetry_space_group_name_H-M 'R -3 m'
_symmetry_Int_Tables_number 166
_symmetry_space_group_name_Hall '-R 3 2"'
_cell_length_a 6.0269
_cell_length_b 6.0269
_cell_length_c 24.5397
_cell_angle_alpha 90.00
_cell_angle_beta 90.00
_cell_angle_gamma 120.00
loop_
_atom_site_label
_atom_site_type_symbol
_atom_site_fract_x
_atom_site_fract_y
_atom_site_fract_z
Ho1 Ho 0.0000 0.0000 0.1492
Fe1 Fe 0.0000 0.0000 0.5000
Si1 Si 0.0000 0.5000 0.0000
Ni1 Ni 0.0455 0.5227 0.0965
Ni2 Ni 0.0650 0.5325 0.6219

=====

Record 11
# SmEr3Tm2 (PBE, optimized geometry)
# volume = 32.2 A^3/atom
# energy relative to the elements = 0.2291 eV per atom
# D(E_F) = 9.31 states/eV/f.u.
# size of the total moment = 0.00 μB/cell
# distance to the lowest polymorph of the same formula = 205 meV/atom
data_SmEr3Tm2
_chemical_formula_sum 'Sm4 Er12 Tm8'
_symmetry_space_group_name_H-M 'C m c 21'
_symmetry_Int_Tables_number 36
_cell_length_a 9.3303
_cell_length_b 12.2568
_cell_length_c 6.7510
_cell_angle_alpha 90.00
_cell_angle_beta 90.00
_cell_angle_gamma 90.00
loop_
_symmetry_equiv_pos_as_xyz
'x,y,z'
'-x,-y,z+1/2'
'-x,y,z'
'x,-y,z+1/2'
'x+1/2,y+1/2,z'
'-x+1/2,-y+1/2,z+1/2'
'-x+1/2,y+1/2,z'
'x+1/2,-y+1/2,z+1/2'
loop_
_atom_site_label
_atom_site_type_symbol
_atom_site_fract_x
_atom_site_fract_y
_atom_site_fract_z
Sm1 Sm 0.0000 0.1481 0.0000
Er1 Er 0.0000 0.1523 0.5013
Er2 Er 0.1717 0.3715 0.7510
Tm1 Tm 0.1717 0.3622 0.2503

=====

Record 12
# ScHgBi2I (PBE, optimized geometry)
# volume = 39.7 A^3/atom
# D(E_F) = 4.70 states/eV/f.u.
# energy relative to the elements, uncorrected = 0.647 eV/atom
# size of the total moment = 0.00 μB/cell
data_ScHgBi2I
_chemical_formula_sum 'Sc1 Hg1 Bi2 I1'
_symmetry_space_group_name_H-M 'P 4/m m m'
_symmetry_Int_Tables_number 123
_symmetry_space_group_name_Hall '-P 4 2'
_cell_length_a 6.1333
_cell_length_b 6.1333
_cell_length_c 5.2791
_cell_angle_alpha 90.00
_cell_angle_beta 90.00
_cell_angle_gamma 90.00
loop_
_atom_site_label
_atom_site_type_symbol
_atom_site_fract_x
_atom_site_fract_y
_atom_site_fract_z
Sc1 Sc 0.0000 0.0000 0.0000
Hg1 Hg 0.5000 0.5000 0.0000
Bi1 Bi 0.0000 0.5000 0.5000
I1 I 0.0000 0.0000 0.5000

=====

Record 13
# Rb3OsRh (PBE, optimized geometry)
# volume = 44.0 A^3/atom
# energy relative to the elements = 1.7414 eV per atom
# D(E_F) = 26.16 states/eV/f.u.
# size of the total moment = 3.38 μB/cell
data_Rb3OsRh
_chemical_formula_sum 'Rb3 Os1 Rh1'
_symmetry_space_group_name_H-M 'P m -3 m'
_symmetry_Int_Tables_number 221
_symmetry_space_group_name_Hall '-P 4 2 3'
_cell_length_a 6.0362
_cell_length_b 6.0362
_cell_length_c 6.0362
_cell_angle_alpha 90.00
_cell_angle_beta 90.00
_cell_angle_gamma 90.00
loop_
_atom_site_label
_atom_site_type_symbol
_atom_site_fract_x
_atom_site_fract_y
_atom_site_fract_z
Rb1 Rb 0.0000 0.0000 0.5000
Os1 Os 0.5000 0.5000 0.5000
Rh1 Rh 0.0000 0.0000 0.0000

=====

Record 14
# Er4SnTe2 (PBE, optimized geometry)
# volume = 29.8 A^3/atom
# D(E_F) = 6.00 states/eV/f.u.
# energy relative to the elements, uncorrected = -0.837 eV/atom
# size of the total moment = 0.00 μB/cell
data_Er4SnTe2
_chemical_formula_sum 'Er32 Sn8 Te16'
_symmetry_space_group_name_H-M 'F d d d'
_symmetry_Int_Tables_number 70
_cell_length_a 9.2583
_cell_length_b 13.4036
_cell_length_c 13.4502
_cell_angle_alpha 90.00
_cell_angle_beta 90.00
_cell_angle_gamma 90.00
loop_
_symmetry_equiv_pos_as_xyz
'x,y,z'
'-x,-y,-z'
'-x+1/4,-y+1/4,z'
'x+1/4,y+1/4,-z'
'x,-y+1/4,-z+1/4'
'-x,y+1/4,z+1/4'
'-x+1/4,y,-z+1/4'
'x+1/4,-y,z+1/4'
'x,y+1/2,z+1/2'
'-x,-y+1/2,-z+1/2'
'-x+1/4,-y+3/4,z+1/2'
'x+1/4,y+3/4,-z+1/2'
'x,-y+3/4,-z+3/4'
'-x,y+3/4,z+3/4'
'-x+1/4,y+1/2,-z+3/4'
'x+1/4,-y+1/2,z+3/4'
'x+1/2,y,z+1/2'
'-x+1/2,-y,-z+1/2'
'-x+3/4,-y+1/4,z+1/2'
'x+3/4,y+1/4,-z+1/2'
'x+1/2,-y+1/4,-z+3/4'
'-x+1/2,y+1/4,z+3/4'
'-x+3/4,y,-z+3/4'
'x+3/4,-y,z+3/4'
'x+1/2,y+1/2,z'
'-x+1/2,-y+1/2,-z'
'-x+3/4,-y+3/4,z'
'x+3/4,y+3/4,-z'
'x+1/2,-y+3/4,-z+1/4'
'-x+1/2,y+3/4,z+1/4'
'-x+3/4,y+1/2,-z+1/4'
'x+3/4,-y+1/2,z+1/4'
loop_
_atom_site_label
_atom_site_type_symbol
_atom_site_fract_x
_atom_site_fract_y
_atom_site_fract_z
Er1 Er 0.0705 0.2798 0.4695
Sn1 Sn 0.1250 0.1250 0.6250
Te1 Te 0.0000 0.0000 0.0000

=====

Record 15
# CeGa2PdAu5 (PBE, optimized geometry)
# volume = 20.4 A^3/atom
# energy relative to the elements = -0.2227 eV per atom
# D(E_F) = 8.77 states/eV/f.u.
# size of the total moment = 0.97 μB/cell
data_CeGa2PdAu5
_chemical_formula_sum 'Ce1 Ga2 Pd1 Au5'
_symmetry_space_group_name_H-M 'P 4/m m m'
_symmetry_Int_Tables_number 123
_symmetry_space_group_name_Hall '-P 4 2'
_cell_length_a 4.9755
_cell_length_b 4.9755
_cell_length_c 7.4272
_cell_angle_alpha 90.00
_cell_angle_beta 90.00
_cell_angle_gamma 90.00
loop_
_atom_site_label
_atom_site_type_symbol
_atom_site_fract_x
_atom_site_fract_y
_atom_site_fract_z
Ce1 Ce 0.0000 0.0000 0.0000
Ga1 Ga 0.5000 0.5000 0.3410
Pd1 Pd 0.0000 0.0000 0.5000
Au1 Au 0.0000 0.5000 0.2672
Au2 Au 0.5000 0.5000 0.0000

=====

Record 16
# ScMn2Cr (PBE, optimized geometry)
# volume = 14.1 A^3/atom
# energy relative to the elements = 0.2219 eV per atom
# D(E_F) = 4.03 states/eV/f.u.
# size of the total moment = 0.73 μB/cell
# distance to the lowest polymorph of the same formula = 162 meV/atom
data_ScMn2Cr
_chemical_formula_sum 'Sc1 Mn2 Cr1'
_symmetry_space_group_name_H-M 'P m m m'
_symmetry_Int_Tables_number 47
_cell_length_a 3.0573
_cell_length_b 4.1508
_cell_length_c 4.4335
_cell_angle_alpha 90.00
_cell_angle_beta 90.00
_cell_angle_gamma 90.00
loop_
_symmetry_equiv_pos_as_xyz
'x,y,z'
'-x,-y,-z'
'-x,-y,z'
'x,y,-z'
'x,-y,-z'
'-x,y,z'
'-x,y,-z'
'x,-y,z'
loop_
_atom_site_label
_atom_site_type_symbol
_atom_site_fract_x
_atom_site_fract_y
_atom_site_fract_z
Sc1 Sc 0.0000 0.0000 0.0000
Mn1 Mn 0.0000 0.5000 0.5000
Mn2 Mn 0.5000 0.5000 0.0000
Cr1 Cr 0.5000 0.0000 0.5000

=====

Record 17
# NpMnGeIr (PBE, optimized geometry)
# volume = 17.5 A^3/atom
# energy relative to the elements = 0.1965 eV per atom
# D(E_F) = 11.48 states/eV/f.u.
# size of the total moment = 31.28 μB/cell
data_NpMnGeIr
_chemical_formula_sum 'Np4 Mn4 Ge4 Ir4'
_symmetry_space_group_name_H-M 'F -4 3 m'
_symmetry_Int_Tables_number 216
_symmetry_space_group_name_Hall 'F -4 2 3'
_cell_length_a 6.5399
_cell_length_b 6.5399
_cell_length_c 6.5399
_cell_angle_alpha 90.00
_cell_angle_beta 90.00
_cell_angle_gamma 90.00
loop_
_atom_site_label
_atom_site_type_symbol
_atom_site_fract_x
_atom_site_fract_y
_atom_site_fract_z
Np1 Np 0.0000 0.0000 0.0000
Mn1 Mn 0.2500 0.2500 0.2500
Ge1 Ge 0.2500 0.2500 0.7500
Ir1 Ir 0.0000 0.0000 0.5000

=====

Record 18
# Be2VB2 (PBE, optimized geometry)
# volume = 8.1 A^3/atom
# energy relative to the elements = 0.0916 eV per atom
# D(E_F) = 2.15 states/eV/f.u.
# size of the total moment = 0.00 μB/cell
data_Be2VB2
_chemical_formula_sum 'Be4 V2 B4'
_symmetry_space_group_name_H-M 'P 4/m b m'
_symmetry_Int_Tables_number 127
_symmetry_space_group_name_Hall '-P 4 2ab'
_cell_length_a 5.7494
_cell_length_b 5.7494
_cell_length_c 2.4418
_cell_angle_alpha 90.00
_cell_angle_beta 90.00
_cell_angle_gamma 90.00
loop_
_atom_site_label
_atom_site_type_symbol
_atom_site_fract_x
_atom_site_fract_y
_atom_site_fract_z
Be1 Be 0.1820 0.3180 0.0000
V1 V 0.0000 0.0000 0.5000
B1 B 0.1097 0.6097 0.5000